# 1
First-principles (PBE-GGA) data for crystalline Ac8Pr2Dy at its relaxed geometry, as listed in Alexandria via LeMat-Bulk.

Unit cell a=10.278 b=10.278 c=8.721 alpha=104.83 beta=104.83 gamma=31.40
Sites, in units of the cell vectors:
Ac 0.047 0.047 0.230
Ac 0.137 0.137 0.686
Ac 0.319 0.319 0.586
Ac 0.408 0.408 0.049
Ac 0.592 0.592 0.951
Ac 0.681 0.681 0.414
Ac 0.863 0.863 0.314
Ac 0.953 0.953 0.770
Pr 0.226 0.226 0.134
Pr 0.774 0.774 0.866
Dy 0.500 0.500 0.500

## Properties
ΔH_f (0 K) in meV/atom: 34
Energy relative to the lowest polymorph listed for this composition in eV per atom: 0.000
SG: No. 12

# 2
First-principles (PBE-GGA) data for crystalline Zr2CrBr at its relaxed geometry, as listed in Alexandria via LeMat-Bulk.

Unit cell a=3.219 b=3.300 c=7.985 alpha=90.00 beta=90.00 gamma=90.00
Sites, in units of the cell vectors:
Zr 0.000 0.000 0.196
Zr 0.000 0.000 0.804
Cr 0.500 0.500 0.000
Br 0.500 0.000 0.500

## Properties
ΔE_f (raw) in eV per formula unit: -0.9
Energy relative to the lowest polymorph listed for this composition in eV per atom: 0.000
SG: No. 47

# 3
First-principles (PBE-GGA) data for crystalline MgIn2Au8 at its relaxed geometry, as listed in Alexandria via LeMat-Bulk.

Unit cell a=7.786 b=7.786 c=7.786 alpha=149.84 beta=113.02 gamma=75.18
Sites, in units of the cell vectors:
Mg 0.000 0.000 0.000
In 0.358 0.358 0.000
In 0.642 0.642 0.000
Au 0.089 0.837 0.252
Au 0.172 0.672 0.500
Au 0.237 0.500 0.737
Au 0.416 0.163 0.252
Au 0.584 0.837 0.748
Au 0.763 0.500 0.263
Au 0.828 0.328 0.500
Au 0.911 0.163 0.748

## Properties
ΔH_f (0 K) in meV/atom: -221
Energy relative to the lowest polymorph listed for this composition in eV per atom: 0.000
SG: No. 71

# 4
First-principles (PBE-GGA) data for crystalline HfSc2SnN at its relaxed geometry, as listed in Alexandria via LeMat-Bulk.

Unit cell a=4.521 b=4.521 c=4.369 alpha=90.00 beta=90.00 gamma=90.00
Sites, in units of the cell vectors:
Hf 0.000 0.000 0.000
Sc 0.000 0.500 0.500
Sc 0.500 0.000 0.500
Sn 0.500 0.500 0.000
N 0.000 0.000 0.500

## Properties
ΔE_f (raw) in eV per formula unit: -5.1
SG: No. 123

# 5
First-principles (PBE-GGA) data for crystalline ZnHPd2 at its relaxed geometry, as listed in Alexandria via LeMat-Bulk.

Unit cell a=2.824 b=2.824 c=6.064 alpha=90.00 beta=90.00 gamma=90.00
Sites, in units of the cell vectors:
Zn 0.000 0.000 0.000
H 0.000 0.000 0.500
Pd 0.500 0.500 0.282
Pd 0.500 0.500 0.718

## Properties
Energy relative to the lowest polymorph listed for this composition in eV per atom: 0.226
SG: No. 123

# 6
First-principles (PBE-GGA) data for crystalline K3PuCr2Se6 at its relaxed geometry, as listed in Alexandria via LeMat-Bulk.

Unit cell a=6.858 b=6.858 c=7.974 alpha=98.31 beta=98.31 gamma=119.91
Sites, in units of the cell vectors:
K 0.000 0.000 0.000
K 0.340 0.660 0.000
K 0.660 0.340 0.000
Pu 0.500 0.500 0.500
Cr 0.167 0.833 0.500
Cr 0.833 0.167 0.500
Se 0.076 0.436 0.310
Se 0.202 0.202 0.688
Se 0.436 0.076 0.310
Se 0.564 0.924 0.690
Se 0.798 0.798 0.312
Se 0.924 0.564 0.690

## Properties
ΔE_f (raw) in eV per formula unit: -12.1
SG: No. 12

# 7
First-principles (PBE-GGA) data for crystalline Sr2ZnBiO6 at its relaxed geometry, as listed in Alexandria via LeMat-Bulk.

Unit cell a=5.858 b=5.874 c=10.055 alpha=90.00 beta=125.19 gamma=90.00
Sites, in units of the cell vectors:
Sr 0.238 0.039 0.248
Sr 0.238 0.461 0.748
Sr 0.762 0.539 0.252
Sr 0.762 0.961 0.752
Zn 0.000 0.000 0.500
Zn 0.000 0.500 0.000
Bi 0.500 0.000 0.000
Bi 0.500 0.500 0.500
O 0.169 0.215 0.958
O 0.169 0.285 0.458
O 0.241 0.713 0.956
O 0.241 0.787 0.456
O 0.327 0.023 0.746
O 0.327 0.477 0.246
O 0.673 0.523 0.754
O 0.673 0.977 0.254
O 0.759 0.213 0.544
O 0.759 0.287 0.044
O 0.831 0.715 0.542
O 0.831 0.785 0.042

## Properties
ΔE_f (raw) in eV per formula unit: -17.0
SG: No. 14

# 8
First-principles (PBE-GGA) data for crystalline CdReSe2N at its relaxed geometry, as listed in Alexandria via LeMat-Bulk.

Unit cell a=5.236 b=5.236 c=4.013 alpha=90.00 beta=90.00 gamma=90.00
Sites, in units of the cell vectors:
Cd 0.000 0.000 0.000
Re 0.500 0.500 0.500
Se 0.000 0.500 0.000
Se 0.500 0.000 0.000
N 0.000 0.000 0.500

## Properties
ΔE_f (raw) in eV per formula unit: 10.0
Energy relative to the lowest polymorph listed for this composition in eV per atom: 1.806
SG: No. 123

# 9
First-principles (PBE-GGA) data for crystalline Rb2Mg2Hg at its relaxed geometry, as listed in Alexandria via LeMat-Bulk.

Unit cell a=7.743 b=7.743 c=6.531 alpha=90.00 beta=90.00 gamma=90.00
Sites, in units of the cell vectors:
Rb 0.181 0.319 0.000
Rb 0.319 0.819 0.000
Rb 0.681 0.181 0.000
Rb 0.819 0.681 0.000
Mg 0.146 0.646 0.500
Mg 0.354 0.146 0.500
Mg 0.646 0.854 0.500
Mg 0.854 0.354 0.500
Hg 0.000 0.000 0.500
Hg 0.500 0.500 0.500

## Properties
ΔH_f (0 K) in meV/atom: 86
SG: No. 127

# 10
First-principles (PBE-GGA) data for crystalline LiSb2SI at its relaxed geometry, as listed in Alexandria via LeMat-Bulk.

Unit cell a=5.172 b=5.172 c=4.847 alpha=90.00 beta=90.00 gamma=90.00
Sites, in units of the cell vectors:
Li 0.000 0.000 0.000
Sb 0.000 0.500 0.000
Sb 0.500 0.000 0.000
S 0.500 0.500 0.500
I 0.000 0.000 0.500

## Properties
ΔE_f (raw) in eV per formula unit: 2.4
Energy relative to the lowest polymorph listed for this composition in eV per atom: 0.159
SG: No. 123

# 11
First-principles (PBE-GGA) data for crystalline ScCu2Re at its relaxed geometry, as listed in Alexandria via LeMat-Bulk.

Unit cell a=4.412 b=4.412 c=4.412 alpha=60.00 beta=60.00 gamma=60.00
Sites, in units of the cell vectors:
Sc 0.000 0.000 0.000
Cu 0.250 0.250 0.250
Cu 0.500 0.500 0.500
Re 0.750 0.750 0.750

## Properties
ΔH_f (0 K) in meV/atom: 396
Energy relative to the lowest polymorph listed for this composition in eV per atom: 0.303
SG: No. 216

# 12
First-principles (PBE-GGA) data for crystalline Ac5PrBi6 at its relaxed geometry, as listed in Alexandria via LeMat-Bulk.

Unit cell a=8.388 b=8.388 c=8.387 alpha=99.60 beta=99.60 gamma=119.99
Sites, in units of the cell vectors:
Ac 0.000 0.000 0.000
Ac 0.166 0.834 0.500
Ac 0.331 0.669 0.000
Ac 0.669 0.331 0.000
Ac 0.834 0.166 0.500
Pr 0.500 0.500 0.500
Bi 0.092 0.419 0.255
Bi 0.256 0.256 0.747
Bi 0.419 0.092 0.255
Bi 0.581 0.908 0.745
Bi 0.744 0.744 0.253
Bi 0.908 0.581 0.745

## Properties
ΔH_f (0 K) in meV/atom: -991
SG: No. 12

# 13
First-principles (PBE-GGA) data for crystalline SmThIn6 at its relaxed geometry, as listed in Alexandria via LeMat-Bulk.

Unit cell a=6.763 b=6.763 c=5.281 alpha=90.00 beta=90.00 gamma=120.00
Sites, in units of the cell vectors:
Sm 0.000 0.000 0.000
Th 0.333 0.667 0.500
In 0.348 0.174 0.500
In 0.510 0.021 0.000
In 0.510 0.490 0.000
In 0.826 0.174 0.500
In 0.826 0.652 0.500
In 0.979 0.490 0.000

## Properties
ΔH_f (0 K) in meV/atom: -344
Energy relative to the lowest polymorph listed for this composition in eV per atom: 0.064
SG: No. 187

# 14
First-principles (PBE-GGA) data for crystalline AcSc2Zn9 at its relaxed geometry, as listed in Alexandria via LeMat-Bulk.

Unit cell a=9.080 b=9.080 c=9.080 alpha=34.89 beta=34.89 gamma=34.89
Sites, in units of the cell vectors:
Ac 0.000 0.000 0.000
Sc 0.146 0.146 0.146
Sc 0.854 0.854 0.854
Zn 0.077 0.592 0.592
Zn 0.336 0.336 0.336
Zn 0.408 0.408 0.923
Zn 0.408 0.923 0.408
Zn 0.500 0.500 0.500
Zn 0.592 0.077 0.592
Zn 0.592 0.592 0.077
Zn 0.664 0.664 0.664
Zn 0.923 0.408 0.408

## Properties
ΔH_f (0 K) in meV/atom: -294
SG: No. 166

# 15
First-principles (PBE-GGA) data for crystalline CsTe5Au4 at its relaxed geometry, as listed in Alexandria via LeMat-Bulk.

Unit cell a=8.320 b=12.596 c=6.200 alpha=90.00 beta=90.00 gamma=90.00
Sites, in units of the cell vectors:
Cs 0.250 0.250 0.162
Cs 0.750 0.750 0.838
Te 0.014 0.548 0.268
Te 0.014 0.952 0.268
Te 0.250 0.750 0.756
Te 0.486 0.548 0.268
Te 0.486 0.952 0.268
Te 0.514 0.048 0.732
Te 0.514 0.452 0.732
Te 0.750 0.250 0.244
Te 0.986 0.048 0.732
Te 0.986 0.452 0.732
Au 0.060 0.750 0.387
Au 0.250 0.535 0.944
Au 0.250 0.965 0.944
Au 0.440 0.750 0.387
Au 0.560 0.250 0.613
Au 0.750 0.035 0.056
Au 0.750 0.465 0.056
Au 0.940 0.250 0.613

## Properties
ΔE_f (raw) in eV per formula unit: -2.3
Energy relative to the lowest polymorph listed for this composition in eV per atom: 0.000
SG: No. 59

# 16
First-principles (PBE-GGA) data for crystalline Ba2ZnSbAs at its relaxed geometry, as listed in Alexandria via LeMat-Bulk.

Unit cell a=7.955 b=4.670 c=10.131 alpha=90.00 beta=106.76 gamma=90.00
Sites, in units of the cell vectors:
Ba 0.196 0.250 0.400
Ba 0.235 0.250 0.965
Ba 0.765 0.750 0.035
Ba 0.804 0.750 0.600
Zn 0.488 0.750 0.263
Zn 0.512 0.250 0.737
Sb 0.321 0.750 0.696
Sb 0.679 0.250 0.304
As 0.175 0.750 0.174
As 0.825 0.250 0.826

## Properties
ΔE_f (raw) in eV per formula unit: -4.4
SG: No. 11

# 17
First-principles (PBE-GGA) data for crystalline DySc2Au at its relaxed geometry, as listed in Alexandria via LeMat-Bulk.

Unit cell a=5.025 b=5.025 c=5.025 alpha=60.00 beta=60.00 gamma=60.00
Sites, in units of the cell vectors:
Dy 0.000 0.000 0.000
Sc 0.250 0.250 0.250
Sc 0.750 0.750 0.750
Au 0.500 0.500 0.500

## Properties
ΔH_f (0 K) in meV/atom: -159
Energy relative to the lowest polymorph listed for this composition in eV per atom: 0.273
SG: No. 225

# 18
First-principles (PBE-GGA) data for crystalline Na2LaPN4 at its relaxed geometry, as listed in Alexandria via LeMat-Bulk.

Unit cell a=5.259 b=5.259 c=5.259 alpha=112.05 beta=112.05 gamma=104.43
Sites, in units of the cell vectors:
Na 0.250 0.750 0.500
Na 0.750 0.250 0.500
La 0.000 0.000 0.000
P 0.500 0.500 0.000
N 0.195 0.529 0.000
N 0.471 0.471 0.666
N 0.529 0.195 0.000
N 0.805 0.805 0.334

## Properties
ΔE_f (raw) in eV per formula unit: -2.8
SG: No. 121

# 19
First-principles (PBE-GGA) data for crystalline CaLa3Tb6 at its relaxed geometry, as listed in Alexandria via LeMat-Bulk.

Unit cell a=6.765 b=6.765 c=9.396 alpha=108.09 beta=108.09 gamma=60.16
Sites, in units of the cell vectors:
Ca 0.000 0.000 0.000
La 0.066 0.066 0.666
La 0.500 0.500 0.500
La 0.934 0.934 0.334
Tb 0.059 0.558 0.694
Tb 0.364 0.364 0.074
Tb 0.442 0.941 0.306
Tb 0.558 0.059 0.694
Tb 0.636 0.636 0.926
Tb 0.941 0.442 0.306

## Properties
ΔH_f (0 K) in meV/atom: 230
SG: No. 12

# 20
First-principles (PBE-GGA) data for crystalline ZrAl5Ir6 at its relaxed geometry, as listed in Alexandria via LeMat-Bulk.

Unit cell a=6.655 b=6.655 c=6.600 alpha=90.00 beta=90.00 gamma=143.18
Sites, in units of the cell vectors:
Zr 0.000 0.000 0.000
Al 0.000 0.000 0.500
Al 0.329 0.671 0.000
Al 0.334 0.666 0.500
Al 0.666 0.334 0.500
Al 0.671 0.329 0.000
Ir 0.170 0.830 0.259
Ir 0.170 0.830 0.741
Ir 0.500 0.500 0.266
Ir 0.500 0.500 0.734
Ir 0.830 0.170 0.259
Ir 0.830 0.170 0.741

## Properties
ΔH_f (0 K) in meV/atom: -899
SG: No. 65